[1]
TaTc2As (PBE, optimized geometry); spin magnetization = 0.00 μB per atom; N(E_F) = 5.1 states/eV/cell; total energy = -8.806 eV/atom; ΔE_f = 193.9 kJ/mol of formula units
1.0
-3.555 3.555 2.700
3.555 -3.555 2.700
3.555 3.555 -2.700
Ta Tc As
2 4 2
Direct
0.000 0.000 0.000 Ta
0.750 0.250 0.500 Ta
0.182 0.125 0.557 Tc
0.375 0.818 0.943 Tc
0.568 0.625 0.443 Tc
0.875 0.432 0.057 Tc
0.250 0.750 0.500 As
0.500 0.500 0.000 As

[2]
PuZnB (PBE, optimized geometry); spin magnetization = 0.00 μB per atom; N(E_F) = 5.5 states/eV/cell; total energy = -7.157 eV/atom; ΔE_f = 78.3 kJ/mol of formula units
1.0
0.000 5.046 5.114
1.704 0.000 5.114
1.704 5.046 0.000
Pu Zn B
2 2 2
Direct
0.173 0.827 0.173 Pu
0.827 0.173 0.827 Pu
0.336 0.336 0.664 Zn
0.664 0.664 0.336 Zn
0.250 0.250 0.250 B
0.750 0.750 0.750 B

[3]
Pr3Si2Pd6 (PBE, optimized geometry); spin magnetization = 0.00 μB per atom; energy relative to the elements, uncorrected = -8.84 eV/f.u.; N(E_F) = 7.1 states/eV/cell; total energy = -5.925 eV/atom
1.0
-4.769 4.769 4.769
4.769 -4.769 4.769
4.769 4.769 -4.769
Pr Si Pd
6 4 12
Direct
0.000 0.286 0.286 Pr
0.000 0.714 0.714 Pr
0.286 0.000 0.286 Pr
0.286 0.286 0.000 Pr
0.714 0.000 0.714 Pr
0.714 0.714 0.000 Pr
0.000 0.000 0.500 Si
0.000 0.500 0.000 Si
0.500 0.000 0.000 Si
0.500 0.500 0.500 Si
0.000 0.324 0.676 Pd
0.000 0.676 0.324 Pd
0.324 0.000 0.676 Pd
0.324 0.324 0.648 Pd
0.324 0.648 0.324 Pd
0.324 0.676 0.000 Pd
0.352 0.676 0.676 Pd
0.648 0.324 0.324 Pd
0.676 0.000 0.324 Pd
0.676 0.324 0.000 Pd
0.676 0.352 0.676 Pd
0.676 0.676 0.352 Pd

[4]
Pm3Sm3Ho4 (PBE, optimized geometry); spin magnetization = 0.00 μB per atom; N(E_F) = 9.0 states/eV/cell; total energy = -4.580 eV/atom; ΔE_f = 89.2 kJ/mol of formula units
1.0
3.685 0.000 0.000
0.000 6.746 6.750
0.000 -6.746 6.750
Pm Sm Ho
3 3 4
Direct
0.000 0.000 0.000 Pm
0.000 0.500 0.849 Pm
0.000 0.849 0.500 Pm
0.000 0.349 0.349 Sm
0.500 0.175 0.674 Sm
0.500 0.674 0.175 Sm
0.500 0.051 0.298 Ho
0.500 0.298 0.051 Ho
0.500 0.551 0.551 Ho
0.500 0.798 0.798 Ho

[5]
Pa3Al2Ga3 (PBE, optimized geometry); spin magnetization = 0.00 μB per atom; N(E_F) = 23.3 states/eV/cell; total energy = -5.825 eV/atom; ΔE_f = -148.9 kJ/mol of formula units
1.0
2.228 -5.072 0.000
2.228 5.072 0.000
0.000 0.000 14.759
Pa Al Ga
6 4 6
Direct
0.023 0.977 0.750 Pa
0.134 0.866 0.022 Pa
0.134 0.866 0.478 Pa
0.866 0.134 0.522 Pa
0.866 0.134 0.978 Pa
0.977 0.023 0.250 Pa
0.313 0.687 0.660 Al
0.313 0.687 0.840 Al
0.687 0.313 0.160 Al
0.687 0.313 0.340 Al
0.269 0.731 0.250 Ga
0.440 0.560 0.101 Ga
0.440 0.560 0.399 Ga
0.560 0.440 0.601 Ga
0.560 0.440 0.899 Ga
0.731 0.269 0.750 Ga

[6]
SiH3S (PBE, optimized geometry); spin magnetization = 0.00 μB per atom; N(E_F) = 1.8 states/eV/cell; total energy = -2.942 eV/atom
1.0
3.524 0.000 0.000
0.000 3.524 0.000
0.000 0.000 3.524
Si H S
1 3 1
Direct
0.000 0.000 0.000 Si
0.000 0.500 0.500 H
0.500 0.000 0.500 H
0.500 0.500 0.000 H
0.500 0.500 0.500 S

[7]
Tb2ErTh3Te6 (PBE, optimized geometry); spin magnetization = 0.00 μB per atom; energy relative to the elements, uncorrected = -13.67 eV/f.u.; N(E_F) = 9.8 states/eV/cell; total energy = -5.717 eV/atom
1.0
9.961 -2.124 0.000
9.961 2.124 0.000
-3.269 0.000 8.578
Tb Er Th Te
2 1 3 6
Direct
0.167 0.167 0.334 Tb
0.833 0.833 0.666 Tb
0.500 0.500 0.000 Er
0.168 0.168 0.834 Th
0.500 0.500 0.500 Th
0.832 0.832 0.166 Th
0.002 0.002 0.240 Te
0.331 0.331 0.424 Te
0.338 0.338 0.911 Te
0.662 0.662 0.089 Te
0.669 0.669 0.576 Te
0.998 0.998 0.760 Te

[8]
Sr4CdPt (PBE, optimized geometry); spin magnetization = 0.00 μB per atom; N(E_F) = 8.2 states/eV/cell; total energy = -1.742 eV/atom; ΔE_f = 311.7 kJ/mol of formula units
1.0
0.000 4.784 4.784
4.784 0.000 4.784
4.784 4.784 0.000
Sr Cd Pt
4 1 1
Direct
0.376 0.376 0.376 Sr
0.376 0.376 0.873 Sr
0.376 0.873 0.376 Sr
0.873 0.376 0.376 Sr
0.000 0.000 0.000 Cd
0.750 0.750 0.750 Pt

[9]
NaNbZn (PBE, optimized geometry); spin magnetization = 0.00 μB per atom; N(E_F) = 4.7 states/eV/cell; total energy = -3.781 eV/atom; ΔE_f = 127.3 kJ/mol of formula units
1.0
3.519 0.000 0.000
0.000 3.519 0.000
0.000 0.000 11.257
Na Nb Zn
2 2 2
Direct
0.250 0.250 0.244 Na
0.750 0.750 0.756 Na
0.250 0.250 0.543 Nb
0.750 0.750 0.457 Nb
0.250 0.750 0.000 Zn
0.750 0.250 0.000 Zn

[10]
Pm4Cd5Hg2 (PBE, optimized geometry); spin magnetization = 0.00 μB per atom; N(E_F) = 9.8 states/eV/cell; total energy = -2.505 eV/atom; ΔE_f = -325.6 kJ/mol of formula units
1.0
8.018 0.000 0.000
0.000 3.498 0.000
-1.004 0.000 10.466
Pm Cd Hg
4 5 2
Direct
0.165 0.000 0.386 Pm
0.270 0.000 0.946 Pm
0.730 0.000 0.054 Pm
0.835 0.000 0.614 Pm
0.199 0.500 0.662 Cd
0.444 0.500 0.208 Cd
0.500 0.500 0.500 Cd
0.556 0.500 0.792 Cd
0.801 0.500 0.338 Cd
0.063 0.500 0.140 Hg
0.937 0.500 0.860 Hg

Repeat the second record exactly.
PuZnB (PBE, optimized geometry); spin magnetization = 0.00 μB per atom; N(E_F) = 5.5 states/eV/cell; total energy = -7.157 eV/atom; ΔE_f = 78.3 kJ/mol of formula units
1.0
0.000 5.046 5.114
1.704 0.000 5.114
1.704 5.046 0.000
Pu Zn B
2 2 2
Direct
0.173 0.827 0.173 Pu
0.827 0.173 0.827 Pu
0.336 0.336 0.664 Zn
0.664 0.664 0.336 Zn
0.250 0.250 0.250 B
0.750 0.750 0.750 B

Question: spin magnetization of number 6 (SiH3S)?
Answer: 0.00 μB per atom